Record 1
A relaxed structure of ReHW. Source: Alexandria, functional PBE.

Structure (POSCAR):
```
ReHW
1.0
-2.001 2.036 4.052
2.001 -2.036 4.052
2.001 2.036 -4.052
Re H W
2 2 2
direct
0.369 0.119 0.250
0.631 0.881 0.750
0.377 0.627 0.750
0.623 0.373 0.250
0.119 0.369 0.750
0.881 0.631 0.250
```

Values from the calculation:
energy relative to the lowest polymorph listed for this composition = 0.0000 eV/atom
space group = No. 74
DFT total energy = -56.33 eV/cell



Record 2
A relaxed structure of Li3Pm2Pd2. Source: Alexandria, functional PBE.

Structure (POSCAR):
```
Li3Pm2Pd2
1.0
5.202 -2.097 0.000
5.202 2.097 0.000
-3.055 0.000 6.788
Li Pm Pd
3 2 2
direct
0.000 0.000 0.000
0.147 0.147 0.434
0.853 0.853 0.566
0.361 0.361 0.222
0.639 0.639 0.778
0.353 0.353 0.815
0.647 0.647 0.185
```

Values from the calculation:
energy of formation from the pure elements = -0.428 eV/atom
space group = No. 12
DFT total energy = -28.62 eV/cell